# 1
The following is a PBE calculation of a geometry-optimized BaMg2Au structure, from the Alexandria database.

The structure belongs to space group I4/mmm (No. 139); the cell edges are 4.6867, 4.6867 and 10.9801 Å and the angles 90.00°, 90.00° and 90.00°. The asymmetric unit holds Ba at (0.0000, 0.0000, 0.0000), Mg at (0.0000, 0.5000, 0.2500) and Au at (0.0000, 0.0000, 0.5000).

The value obtained for the total energy is -2.21 eV per atom. The value obtained for the density of states at the Fermi level is 0.651 states/eV per atom. The formation energy is -0.12 eV/atom.

---

# 2
The following is a PBE calculation of a geometry-optimized Ba4Mg3Au2 structure, from the Alexandria database.

The structure belongs to space group C2/m (No. 12); the cell edges are 18.6604, 4.4392 and 8.4448 Å and the angles 90.00°, 109.73° and 90.00°. The asymmetric unit holds Ba at (0.0751, 0.0000, 0.3671), Ba at (0.2304, 0.5000, 0.1961), Mg at (0.0000, 0.5000, 0.0000), Mg at (0.0949, 0.5000, 0.7488) and Au at (0.0978, 0.0000, 0.9564).

The value obtained for the total energy is -2.47 eV per atom. The value obtained for the density of states at the Fermi level is 0.860 states/eV per atom. The formation energy is -0.35 eV/atom.

---

# 3
The following is a PBE calculation of a geometry-optimized Ba4MgAu structure, from the Alexandria database.

The structure belongs to space group P2_1/m (No. 11); the cell edges are 6.6537, 8.7811 and 9.6956 Å and the angles 90.00°, 101.33° and 90.00°. The asymmetric unit holds Ba at (0.1189, 0.2500, 0.0608), Ba at (0.2175, 0.7500, 0.3625), Ba at (0.3393, 0.5171, 0.7570), Mg at (0.2249, 0.2500, 0.4329) and Au at (0.3930, 0.7500, 0.0424).

The value obtained for the total energy is -2.32 eV per atom. The value obtained for the energy relative to the lowest polymorph listed for this composition is 0 kJ/mol of formula units. The value obtained for the density of states at the Fermi level is 1.309 states/eV per atom. The formation energy is -0.23 eV/atom.

---

# 4
The following is a PBE calculation of a geometry-optimized Ba3MgAu structure, from the Alexandria database.

The structure belongs to space group Pm-3m (No. 221); the cell edges are 6.3878, 6.3878 and 6.3878 Å and the angles 90.00°, 90.00° and 90.00°. The asymmetric unit holds Ba at (0.0000, 0.0000, 0.5000), Mg at (0.5000, 0.5000, 0.5000) and Au at (0.0000, 0.0000, 0.0000).

The value obtained for the total energy is -2.32 eV per atom. The value obtained for the energy relative to the lowest polymorph listed for this composition is 39 kJ/mol of formula units. The value obtained for the density of states at the Fermi level is 0.870 states/eV per atom. The formation energy is -0.20 eV/atom.

---

# 5
The following is a PBE calculation of a geometry-optimized BaMg2Au2 structure, from the Alexandria database.

The structure belongs to space group I4/mmm (No. 139); the cell edges are 4.4934, 4.4934 and 12.8218 Å and the angles 90.00°, 90.00° and 90.00°. The asymmetric unit holds Ba at (0.0000, 0.0000, 0.0000), Mg at (0.0000, 0.5000, 0.2500) and Au at (0.0000, 0.0000, 0.3802).

The value obtained for the total energy is -2.96 eV per atom. The value obtained for the energy relative to the lowest polymorph listed for this composition is 0 kJ/mol of formula units. The value obtained for the density of states at the Fermi level is 0.436 states/eV per atom. The formation energy is -0.62 eV/atom.

---

# 6
The following is a PBE calculation of a geometry-optimized BaMgAu structure, from the Alexandria database.

The structure belongs to space group F-43m (No. 216); the cell edges are 7.7766, 7.7766 and 7.7766 Å and the angles 90.00°, 90.00° and 90.00°. The asymmetric unit holds Ba at (0.0000, 0.0000, 0.0000), Mg at (0.2500, 0.2500, 0.7500) and Au at (0.2500, 0.2500, 0.2500).

The value obtained for the total energy is -2.22 eV per atom. The value obtained for the density of states at the Fermi level is 0.702 states/eV per atom. The formation energy is 0.05 eV/atom.

---

# 7
The following is a PBE calculation of a geometry-optimized BaMgAu structure, from the Alexandria database.

The structure belongs to space group I4mm (No. 107); the cell edges are 3.7467, 3.7467 and 12.4132 Å and the angles 90.00°, 90.00° and 90.00°. The asymmetric unit holds Ba at (0.0000, 0.0000, 0.0000), Mg at (0.0000, 0.0000, 0.2770) and Au at (0.0000, 0.0000, 0.6851).

The value obtained for the total energy is -2.69 eV per atom. The value obtained for the density of states at the Fermi level is 0.338 states/eV per atom. The formation energy is -0.42 eV/atom.

---

# 8
The following is a PBE calculation of a geometry-optimized BaMgAu2 structure, from the Alexandria database.

The structure belongs to space group Pm (No. 6); the cell edges are 4.4506, 5.0326 and 5.3729 Å and the angles 90.00°, 93.36° and 90.00°. The asymmetric unit holds Ba at (0.0000, 0.0000, 0.0000), Mg at (0.5328, 0.5000, 0.3593), Au at (0.4840, 0.0000, 0.5309) and Au at (0.4891, 0.5000, 0.8589).

The value obtained for the total energy is -3.06 eV per atom. The value obtained for the density of states at the Fermi level is 0.432 states/eV per atom. The formation energy is -0.54 eV/atom.